The following is a PBE calculation of a geometry-optimized VIr2Rh4 structure, from Alexandria.

Cell: 5.0363 5.0363 8.8360 Å, 104.13 104.13 98.26°
Atoms (fractional coordinates):
V 0.8757 0.3757 0.5000
V 0.6257 0.6257 0.0000
Ir 0.3954 0.5169 0.4766
Ir 0.0403 0.9188 0.5234
Ir 0.1688 0.7903 0.0234
Ir 0.7669 0.1454 0.9766
Rh 0.3291 0.7664 0.7660
Rh 0.0164 0.0791 0.2660
Rh 0.1581 0.2723 0.8280
Rh 0.5223 0.9081 0.3280
Rh 0.5801 0.1943 0.6720
Rh 0.0003 0.5631 0.2340
Rh 0.8131 0.7503 0.7340
Rh 0.4443 0.3301 0.1720

Calculated values
Raw total energy ... -0.5887 Ry per atom
Spin magnetization ... 0.000 μB/atom
SG ... Fdd2
Energy of formation ... 0.03 eV per atom



The following is a PBE calculation of a geometry-optimized V2Ir2Rh3 structure, from Alexandria.

Cell: 2.7284 2.7738 13.7909 Å, 90.00 84.37 90.00°
Atoms (fractional coordinates):
V 0.1448 0.5000 0.7094
V 0.8552 0.5000 0.2906
Ir 0.4180 0.0000 0.1659
Ir 0.5820 0.0000 0.8341
Rh 0.2925 0.0000 0.4147
Rh 0.0000 0.0000 0.0000
Rh 0.7075 0.0000 0.5853

Calculated values
Raw total energy ... -0.6165 Ry per atom
Distance to the lowest polymorph of the same formula ... 133 meV per atom
Spin magnetization ... 0.000 μB/atom
SG ... P2/m
Energy of formation ... -0.10 eV per atom